# GGA-PBE AcSbF, optimized geometry
data_AcSbF
_cell_length_a 11.7334
_cell_length_b 5.8310
_cell_length_c 8.9578
_cell_angle_alpha 90.00
_cell_angle_beta 127.03
_cell_angle_gamma 90.00
_symmetry_space_group_name_H-M 'C 1 2/m 1'
_symmetry_Int_Tables_number 12
_symmetry_space_group_name_Hall '-C 2y'
loop_
_atom_site_label
_atom_site_type_symbol
_atom_site_fract_x
_atom_site_fract_y
_atom_site_fract_z
_atom_site_occupancy
Ac1 Ac 0.1928 0.0000 0.2523 1
Sb1 Sb 0.1502 0.0000 0.5932 1
F1 F 0.0617 0.0000 0.9188 1
# Energy relative to the lowest polymorph listed for this composition (meV/atom): 226
# ΔE_f (raw) (eV/atom): -1.97